TbTlCdSe3 after structural relaxation, computed with PBE.

```
TbTlCdSe3
1.0
2.120 -7.354 0.000
2.120 7.354 0.000
0.000 0.000 11.136
Tl Tb Se Cd
2 2 6 2
Direct
0.251 0.749 0.250
0.749 0.251 0.750
0.000 0.000 0.500
0.000 0.000 0.000
0.928 0.072 0.250
0.368 0.632 0.953
0.632 0.368 0.453
0.632 0.368 0.047
0.072 0.928 0.750
0.368 0.632 0.547
0.457 0.543 0.750
0.543 0.457 0.250
```

Properties
Its volume is 173.6 Å³/f.u. For the total energy, the calculation gives -49.60 eV per cell.

---

GaAgB after structural relaxation, computed with PBE.

```
GaAgB
1.0
-3.745 -1.555 -0.470
-2.728 0.300 3.021
-3.210 2.491 -0.389
B Ga Ag
1 1 1
Direct
0.250 0.250 0.250
0.750 0.750 0.750
0.000 0.000 0.000
```

Properties
Its volume is 48.1 Å³/f.u. For the total energy, the calculation gives -9.61 eV per cell.

---

Sm4GaGe3 after structural relaxation, computed with PBE.

```
Sm4GaGe3
1.0
4.050 0.000 0.000
0.000 4.421 0.000
0.000 0.000 11.022
Sm Ge Ga
4 3 1
Direct
0.000 0.000 0.140
0.000 0.500 0.638
0.500 0.500 0.362
0.500 0.000 0.860
0.500 0.000 0.581
0.000 0.000 0.417
0.500 0.500 0.079
0.000 0.500 0.923
```

Properties
Its volume is 197.3 Å³/f.u. For the total energy, the calculation gives -42.33 eV per cell.

---

- Which of these has the highest volume?
  Sm4GaGe3

---

- Number 2 is which compound?
  GaAgB